(1)
CuMo2Au | PBE-GGA | relaxed

Summary:
The formation energy comes out at 0.38 eV/atom. As for the total moment: 0.00 Bohr magnetons per cell.

Unit cell a=2.7730 b=2.7730 c=28.0414 alpha=90.00 beta=90.00 gamma=120.00
Space group R-3m (No. 166, hexagonal axes)
Symmetry-distinct sites (fractional):
1 Cu 0.0000 0.0000 0.0000
2 Mo 0.0000 0.0000 0.2538
3 Au 0.0000 0.0000 0.5000



(2)
CuMo2Au | PBE-GGA | relaxed

Summary:
The formation energy comes out at 0.16 eV/atom. As for the total moment: 0.00 Bohr magnetons per cell.

Unit cell a=3.278 b=4.339 c=8.778 alpha=90.00 beta=90.00 gamma=90.00
Space group Cmm2 (No. 35)
Symmetry-distinct sites (fractional):
1 Cu 0.000 0.000 0.000
2 Mo 0.000 0.000 0.515
3 Mo 0.000 0.500 0.765
4 Au 0.000 0.500 0.245



(3)
CuMo2Au | PBE-GGA | relaxed

Summary:
The formation energy comes out at 0.42 eV/atom. As for the total moment: 0.00 Bohr magnetons per cell.

Unit cell a=6.310 b=6.310 c=6.310 alpha=90.00 beta=90.00 gamma=90.00
Space group F-43m (No. 216)
Symmetry-distinct sites (fractional):
1 Cu 0.000 0.000 0.000
2 Mo 0.000 0.000 0.500
3 Mo 0.250 0.250 0.250
4 Au 0.250 0.250 0.750



(4)
CuMo2Au | PBE-GGA | relaxed

Summary:
The formation energy comes out at 0.21 eV/atom. As for the total moment: 0.00 Bohr magnetons per cell.

Unit cell a=3.744 b=3.744 c=4.364 alpha=90.00 beta=90.00 gamma=90.00
Space group P4/mmm (No. 123)
Symmetry-distinct sites (fractional):
1 Cu 0.000 0.000 0.000
2 Mo 0.000 0.500 0.500
3 Au 0.500 0.500 0.000